The following is a SCAN calculation of Sb2BrN at its PBEsol-relaxed geometry, from Alexandria via LeMat-Bulk.

Properties
DOS(E_F) in states/eV per cell: 2.26
Total magnetic moment in μB/f.u.: 0.00
E_form (uncorrected) in eV/atom: 1.33

Lattice parameters (Å, degrees): 4.8024 4.8024 4.8024 60.00 60.00 60.00
Sites, in units of the cell vectors:
Br1 0.5000 0.5000 0.5000
Sb1 0.7500 0.7500 0.7500
Sb2 0.2500 0.2500 0.2500
N1 0.0000 0.0000 0.0000